VASP calculation (PBE) on a geometry-optimized NaLaBi3 structure.

- Total magnetization: 0.00 μB per atom
- Final energy: -3.433 eV per atom

a = 6.201 Å, b = 6.201 Å, c = 6.201 Å
α = 90.00°, β = 90.00°, γ = 90.00°
Fractional positions:
Na  0.500  0.500  0.500
Bi  0.000  0.500  0.000
Bi  0.000  0.000  0.500
Bi  0.500  0.000  0.000
La  0.000  0.000  0.000


VASP calculation (PBE) on a geometry-optimized Ti2AgNCl structure.

- Total magnetization: 0.00 μB per atom
- Final energy: -4.833 eV per atom
- ΔE_f (raw): 0.930 eV per atom

a = 4.503 Å, b = 4.099 Å, c = 4.503 Å
α = 90.00°, β = 90.00°, γ = 90.00°
Fractional positions:
N  0.000  0.500  0.000
Cl  0.000  0.000  0.000
Ag  0.500  0.500  0.500
Ti  0.000  0.000  0.500
Ti  0.500  0.000  0.000


VASP calculation (PBE) on a geometry-optimized Ba2SrCd3Sn4 structure.

- Total magnetization: 0.00 μB per atom
- Final energy: -2.876 eV per atom

a = 5.026 Å, b = 5.026 Å, c = 12.959 Å
α = 90.00°, β = 90.00°, γ = 90.00°
Fractional positions:
Ba  0.500  0.000  0.234
Ba  0.000  0.500  0.766
Sr  0.500  0.500  0.500
Cd  0.000  0.000  0.500
Cd  0.500  0.000  0.871
Cd  0.000  0.500  0.129
Sn  0.500  0.500  0.000
Sn  0.000  0.000  0.000
Sn  0.500  0.000  0.653
Sn  0.000  0.500  0.347


VASP calculation (PBE) on a geometry-optimized Pr8CuSi3Br4 structure.

- Total magnetization: 0.00 μB per atom
- Final energy: -5.044 eV per atom
- ΔE_f (raw): -0.963 eV per atom

a = 8.564 Å, b = 8.861 Å, c = 8.563 Å
α = 118.91°, β = 120.00°, γ = 90.00°
Fractional positions:
Pr  0.240  0.716  0.977
Pr  0.239  0.716  0.479
Pr  0.262  0.285  0.523
Pr  0.738  0.716  0.977
Pr  0.262  0.284  0.023
Pr  0.738  0.715  0.477
Pr  0.761  0.284  0.521
Pr  0.760  0.284  0.023
Cu  0.000  0.500  0.000
Si  0.500  0.500  0.000
Si  0.500  0.500  0.500
Si  0.000  0.500  0.500
Br  0.500  0.000  0.000
Br  0.500  0.000  0.500
Br  0.000  0.000  0.000
Br  0.000  0.000  0.500


Copy entry 1 word for word.
VASP calculation (PBE) on a geometry-optimized NaLaBi3 structure.

- Total magnetization: 0.00 μB per atom
- Final energy: -3.433 eV per atom

a = 6.201 Å, b = 6.201 Å, c = 6.201 Å
α = 90.00°, β = 90.00°, γ = 90.00°
Fractional positions:
Na  0.500  0.500  0.500
Bi  0.000  0.500  0.000
Bi  0.000  0.000  0.500
Bi  0.500  0.000  0.000
La  0.000  0.000  0.000


What did the second record say?
VASP calculation (PBE) on a geometry-optimized Ti2AgNCl structure.

- Total magnetization: 0.00 μB per atom
- Final energy: -4.833 eV per atom
- ΔE_f (raw): 0.930 eV per atom

a = 4.503 Å, b = 4.099 Å, c = 4.503 Å
α = 90.00°, β = 90.00°, γ = 90.00°
Fractional positions:
N  0.000  0.500  0.000
Cl  0.000  0.000  0.000
Ag  0.500  0.500  0.500
Ti  0.000  0.000  0.500
Ti  0.500  0.000  0.000